The following is a GGA-PBE calculation of FeP2Cl after structural relaxation, from Alexandria via LeMat-Bulk.

Properties
* crystal system: orthorhombic
* distance to the lowest polymorph of the same formula: 297 kJ/mol of formula units
* energy relative to the elements, uncorrected: 12.86 kcal/mol of atoms

Cell lengths 4.4808, 11.6979, 2.7065 Å; angles 90.00, 90.00, 90.00 degrees
Closest atoms and distances in Å follow each position.
Space group Cmmm (No. 65)
Symmetry-distinct sites (fractional):
Fe  0.0000  0.0000  0.0000 (multiplicity 2)  2 Cl 2.24
P  0.2500  0.2500  0.5000 (multiplicity 4)  2 P 2.24
Cl  0.0000  0.5000  0.0000 (multiplicity 2)  2 Fe 2.24

---

The following is a GGA-PBE calculation of FeP2Cl after structural relaxation, from Alexandria via LeMat-Bulk.

Properties
* crystal system: cubic
* distance to the lowest polymorph of the same formula: 334 kJ/mol of formula units
* energy relative to the elements, uncorrected: 15.02 kcal/mol of atoms

Cell lengths 6.1834, 6.1834, 6.1834 Å; angles 90.00, 90.00, 90.00 degrees
Closest atoms and distances in Å follow each position.
Space group F-43m (No. 216)
Symmetry-distinct sites (fractional):
Fe  0.0000  0.0000  0.0000 (multiplicity 4)  4 P 2.68, 4 Cl 2.68
P  0.0000  0.0000  0.5000 (multiplicity 4)  4 Cl 2.68, 4 P 2.68
P  0.2500  0.2500  0.2500 (multiplicity 4)  4 Fe 2.68, 4 P 2.68
Cl  0.2500  0.2500  0.7500 (multiplicity 4)  4 Fe 2.68, 4 P 2.68

---

The following is a GGA-PBE calculation of FePCl2 after structural relaxation, from Alexandria via LeMat-Bulk.

Properties
* crystal system: monoclinic
* distance to the lowest polymorph of the same formula: 0 kJ/mol of formula units
* energy relative to the elements, uncorrected: -10.92 kcal/mol of atoms

Cell lengths 5.7084, 3.4084, 8.2440 Å; angles 90.00, 92.87, 90.00 degrees
Closest atoms and distances in Å follow each position.
Space group Cm (No. 8)
Symmetry-distinct sites (fractional):
Fe  0.0000  0.0000  0.0000 (multiplicity 2)  3 P 2.22-2.24, 3 Cl 2.43-2.45
P  0.3321  0.0000  0.8672 (multiplicity 2)  1 Cl 2.02, 3 Fe 2.22-2.24
Cl  0.1761  0.5000  0.1810 (multiplicity 2)  3 Fe 2.43-2.45
Cl  0.3121  0.0000  0.6214 (multiplicity 2)  1 P 2.02

---

The following is a GGA-PBE calculation of FePCl2 after structural relaxation, from Alexandria via LeMat-Bulk.

Properties
* crystal system: monoclinic
* distance to the lowest polymorph of the same formula: 62 kJ/mol of formula units
* energy relative to the elements, uncorrected: -7.23 kcal/mol of atoms

Cell lengths 3.5213, 3.4561, 8.1908 Å; angles 90.00, 90.49, 90.00 degrees
Closest atoms and distances in Å follow each position.
Space group Pm (No. 6)
Symmetry-distinct sites (fractional):
Fe  0.0000  0.0000  0.0000 (multiplicity 1)  2 P 2.17, 2 Cl 2.27
P  0.0038  0.5000  0.1596 (multiplicity 1)  1 Cl 2.03, 2 Fe 2.17
Cl  0.0108  0.5000  0.4076 (multiplicity 1)  1 P 2.03
Cl  0.4964  0.0000  0.8244 (multiplicity 1)  2 Fe 2.27

---

The following is a GGA-PBE calculation of FeP2Cl after structural relaxation, from Alexandria via LeMat-Bulk.

Properties
* crystal system: tetragonal
* distance to the lowest polymorph of the same formula: 245 kJ/mol of formula units
* energy relative to the elements, uncorrected: 9.76 kcal/mol of atoms

Cell lengths 3.3734, 3.3734, 6.2160 Å; angles 90.00, 90.00, 90.00 degrees
Closest atoms and distances in Å follow each position.
Space group P4/mmm (No. 123)
Symmetry-distinct sites (fractional):
Fe  0.0000  0.0000  0.0000 (multiplicity 1)  4 Cl 2.39
P  0.0000  0.5000  0.5000 (multiplicity 2)  4 P 2.39
Cl  0.5000  0.5000  0.0000 (multiplicity 1)  4 Fe 2.39

---

The following is a GGA-PBE calculation of FePCl2 after structural relaxation, from Alexandria via LeMat-Bulk.

Properties
* crystal system: tetragonal
* distance to the lowest polymorph of the same formula: 477 kJ/mol of formula units
* energy relative to the elements, uncorrected: 17.58 kcal/mol of atoms

Cell lengths 6.0898, 6.0898, 9.0740 Å; angles 90.00, 90.00, 90.00 degrees
Closest atoms and distances in Å follow each position.
Space group I-42d (No. 122)
Symmetry-distinct sites (fractional):
Fe  0.0000  0.0000  0.0000 (multiplicity 4)  4 Cl 2.15
P  0.0000  0.0000  0.5000 (multiplicity 4)  4 Cl 2.79
Cl  0.1643  0.2500  0.1250 (multiplicity 8)  2 Fe 2.15

---

Number 1: energy -37.8 eV for the cell shown, DOS(E_F) 4.68 states/eV per cell. Number 2: energy -74.1 eV for the cell shown, DOS(E_F) 11.10 states/eV per cell. Number 3: energy -38.9 eV for the cell shown, DOS(E_F) 7.09 states/eV per cell. Number 4: energy -18.8 eV for the cell shown, DOS(E_F) 2.67 states/eV per cell. Number 5: energy -19.4 eV for the cell shown, DOS(E_F) 5.20 states/eV per cell. Number 6: energy -58.1 eV for the cell shown, DOS(E_F) 24.83 states/eV per cell.